[1]
Here is a relaxed structure of SrYZr from Alexandria. Energies are from PBE.

a = 5.724 Å, b = 5.724 Å, c = 3.386 Å
α = 90.00°, β = 90.00°, γ = 120.00°
Site moments in Bohr magnetons follow the coordinates.
Positions (direct):
Zr  0.333  0.667  0.834  0.76
Sr  0.000  0.000  0.833  0.06
Y  0.667  0.333  0.333  0.20

DFT formation energy: 0.466 eV per atom
relative energy among the computed polymorphs: 197 meV/atom



[2]
Here is a relaxed structure of SrY2Zr from Alexandria. Energies are from PBE.

a = 6.992 Å, b = 6.992 Å, c = 6.992 Å
α = 149.99°, β = 129.30°, γ = 60.05°
Site moments in Bohr magnetons follow the coordinates.
Positions (direct):
Y  0.988  0.988  0.000  0.07
Sr  0.267  0.767  0.500  0.01
Zr  0.516  0.516  0.000  0.37
Y  0.729  0.229  0.500  0.04

DFT formation energy: 0.374 eV per atom
relative energy among the computed polymorphs: 208 meV/atom



[3]
Here is a relaxed structure of SrYb6 from Alexandria. Energies are from PBE.

a = 8.205 Å, b = 8.205 Å, c = 8.205 Å
α = 109.47°, β = 109.47°, γ = 109.47°
Positions (direct):
Yb  0.750  0.500  0.250
Yb  0.750  0.250  0.500
Yb  0.500  0.750  0.250
Yb  0.250  0.500  0.750
Yb  0.250  0.750  0.500
Yb  0.500  0.250  0.750
Sr  0.000  0.000  0.000

DFT formation energy: 0.822 eV per atom



[4]
Here is a relaxed structure of SrYb from Alexandria. Energies are from PBE.

a = 4.001 Å, b = 4.001 Å, c = 6.576 Å
α = 90.00°, β = 90.00°, γ = 120.00°
Site moments in Bohr magnetons follow the coordinates.
Positions (direct):
Sr  0.333  0.667  0.500  -0.01
Yb  0.000  0.000  0.000  0.20

DFT formation energy: -0.003 eV per atom



[5]
Here is a relaxed structure of Sr3Zn from Alexandria. Energies are from PBE.

a = 7.429 Å, b = 8.463 Å, c = 11.042 Å
α = 90.00°, β = 90.00°, γ = 90.00°
Positions (direct):
Sr  0.162  0.322  0.435
Sr  0.354  0.536  0.750
Zn  0.056  0.621  0.250
Sr  0.338  0.822  0.435
Sr  0.838  0.678  0.565
Sr  0.662  0.178  0.565
Sr  0.162  0.322  0.065
Zn  0.444  0.121  0.250
Sr  0.646  0.464  0.250
Sr  0.854  0.964  0.250
Sr  0.338  0.822  0.065
Sr  0.662  0.178  0.935
Sr  0.838  0.678  0.935
Zn  0.944  0.379  0.750
Zn  0.556  0.879  0.750
Sr  0.146  0.036  0.750

DFT formation energy: -0.088 eV per atom



[6]
Here is a relaxed structure of SrZn5 from Alexandria. Energies are from PBE.

a = 5.318 Å, b = 6.703 Å, c = 13.134 Å
α = 90.00°, β = 90.00°, γ = 90.00°
Positions (direct):
Zn  0.250  0.401  0.521
Zn  0.250  0.099  0.021
Zn  0.250  0.543  0.206
Zn  0.500  0.346  0.357
Sr  0.250  0.853  0.410
Zn  0.750  0.599  0.479
Zn  0.750  0.457  0.794
Zn  0.500  0.154  0.857
Sr  0.750  0.147  0.590
Zn  0.750  0.901  0.979
Zn  0.750  0.839  0.786
Zn  0.000  0.654  0.643
Zn  0.000  0.846  0.143
Zn  0.250  0.339  0.714
Zn  0.250  0.161  0.214
Zn  0.750  0.661  0.286
Zn  0.750  0.043  0.294
Zn  0.250  0.957  0.706
Zn  0.000  0.154  0.857
Sr  0.250  0.647  0.910
Zn  0.000  0.346  0.357
Zn  0.500  0.846  0.143
Zn  0.500  0.654  0.643
Sr  0.750  0.353  0.090

DFT formation energy: -0.214 eV per atom



[7]
Here is a relaxed structure of SrZn3 from Alexandria. Energies are from PBE.

a = 4.141 Å, b = 4.141 Å, c = 7.049 Å
α = 90.00°, β = 90.00°, γ = 120.00°
Positions (direct):
Zn  0.667  0.333  0.683
Sr  0.000  0.000  0.000
Zn  0.667  0.333  0.317
Zn  0.000  0.000  0.500

DFT formation energy: 0.050 eV per atom



[8]
Here is a relaxed structure of Sr3Zn5 from Alexandria. Energies are from PBE.

a = 10.621 Å, b = 10.621 Å, c = 4.755 Å
α = 90.00°, β = 90.00°, γ = 120.00°
Positions (direct):
Zn  0.667  0.333  0.500
Zn  0.000  0.146  0.250
Zn  0.000  0.854  0.750
Zn  0.146  0.000  0.250
Sr  0.000  0.353  0.750
Zn  0.146  0.146  0.750
Sr  0.353  0.000  0.750
Sr  0.000  0.647  0.250
Sr  0.647  0.647  0.750
Zn  0.333  0.667  0.000
Zn  0.667  0.333  0.000
Zn  0.854  0.854  0.250
Zn  0.333  0.667  0.500
Sr  0.353  0.353  0.250
Zn  0.854  0.000  0.750
Sr  0.647  0.000  0.250

DFT formation energy: -0.108 eV per atom
relative energy among the computed polymorphs: 39 meV/atom



[9]
Here is a relaxed structure of Sr5Zn3 from Alexandria. Energies are from PBE.

a = 3.952 Å, b = 3.952 Å, c = 18.223 Å
α = 90.00°, β = 90.00°, γ = 90.00°
Positions (direct):
Sr  0.000  0.000  0.211
Sr  0.000  0.000  0.000
Zn  0.500  0.500  0.891
Zn  0.500  0.500  0.109
Zn  0.000  0.000  0.500
Sr  0.000  0.000  0.789
Sr  0.500  0.500  0.395
Sr  0.500  0.500  0.605

DFT formation energy: -0.150 eV per atom
relative energy among the computed polymorphs: 0 meV/atom



[10]
Here is a relaxed structure of Sr3Zn5 from Alexandria. Energies are from PBE.

a = 9.465 Å, b = 9.460 Å, c = 8.681 Å
α = 99.63°, β = 99.78°, γ = 139.96°
Positions (direct):
Sr  0.531  0.031  0.775
Sr  0.471  0.971  0.226
Sr  0.167  0.333  0.500
Zn  0.945  0.445  0.630
Zn  0.141  0.446  0.873
Zn  0.947  0.641  0.873
Zn  0.802  0.973  0.672
Zn  0.525  0.696  0.327
Sr  0.833  0.667  0.500
Zn  0.198  0.026  0.328
Sr  0.712  0.790  0.000
Zn  0.059  0.559  0.373
Sr  0.289  0.212  0.000
Zn  0.053  0.360  0.129
Zn  0.474  0.303  0.673
Zn  0.860  0.554  0.129

DFT formation energy: -0.147 eV per atom
relative energy among the computed polymorphs: 0 meV/atom



[11]
Here is a relaxed structure of SrZn2 from Alexandria. Energies are from PBE.

a = 5.321 Å, b = 5.321 Å, c = 6.304 Å
α = 90.00°, β = 90.00°, γ = 120.00°
Positions (direct):
Sr  0.667  0.333  0.750
Zn  0.333  0.667  0.750
Zn  0.000  0.000  0.000
Zn  0.667  0.333  0.250
Zn  0.000  0.000  0.500
Sr  0.333  0.667  0.250

DFT formation energy: -0.040 eV per atom



[12]
Here is a relaxed structure of SrZn11 from Alexandria. Energies are from PBE.

a = 8.352 Å, b = 8.352 Å, c = 8.352 Å
α = 99.89°, β = 99.89°, γ = 131.02°
Positions (direct):
Zn  0.488  0.818  0.916
Sr  0.250  0.750  0.500
Zn  0.762  0.178  0.829
Zn  0.901  0.818  0.329
Zn  0.625  0.375  0.750
Zn  0.500  0.500  0.000
Zn  0.182  0.512  0.084
Zn  0.488  0.572  0.671
Zn  0.428  0.099  0.916
Zn  0.625  0.375  0.250
Zn  0.822  0.238  0.171
Zn  0.428  0.512  0.329
Zn  0.068  0.651  0.829
Zn  0.125  0.375  0.750
Zn  0.349  0.932  0.171
Sr  0.000  0.000  0.000
Zn  0.068  0.238  0.416
Zn  0.625  0.875  0.250
Zn  0.750  0.250  0.500
Zn  0.822  0.651  0.584
Zn  0.182  0.099  0.671
Zn  0.349  0.178  0.416
Zn  0.901  0.572  0.084
Zn  0.762  0.932  0.584

DFT formation energy: -0.173 eV per atom



[13]
Here is a relaxed structure of Sr3Zn from Alexandria. Energies are from PBE.

a = 4.204 Å, b = 4.102 Å, c = 10.737 Å
α = 90.00°, β = 90.00°, γ = 90.00°
Positions (direct):
Sr  0.000  0.500  0.461
Sr  0.500  0.500  0.119
Zn  0.000  0.000  0.992
Sr  0.500  0.000  0.761

DFT formation energy: 0.030 eV per atom



[14]
Here is a relaxed structure of SrZn from Alexandria. Energies are from PBE.

a = 6.502 Å, b = 6.502 Å, c = 6.515 Å
α = 90.00°, β = 90.00°, γ = 90.00°
Positions (direct):
Zn  0.299  0.701  0.000
Sr  0.214  0.214  0.000
Sr  0.286  0.714  0.500
Sr  0.786  0.786  0.000
Sr  0.714  0.286  0.500
Zn  0.701  0.299  0.000
Zn  0.201  0.201  0.500
Zn  0.799  0.799  0.500

DFT formation energy: -0.044 eV per atom



[15]
Here is a relaxed structure of SrZn from Alexandria. Energies are from PBE.

a = 7.176 Å, b = 7.176 Å, c = 7.176 Å
α = 90.00°, β = 90.00°, γ = 90.00°
Positions (direct):
Sr  0.000  0.000  0.000
Sr  0.000  0.500  0.500
Zn  0.750  0.750  0.250
Sr  0.500  0.500  0.000
Zn  0.250  0.750  0.750
Sr  0.500  0.000  0.500
Zn  0.250  0.250  0.250
Zn  0.750  0.250  0.750

DFT formation energy: 0.335 eV per atom



[16]
Here is a relaxed structure of SrZn from Alexandria. Energies are from PBE.

a = 4.295 Å, b = 4.295 Å, c = 4.310 Å
α = 90.00°, β = 90.00°, γ = 120.00°
Positions (direct):
Sr  0.000  0.000  0.000
Zn  0.667  0.333  0.500

DFT formation energy: -0.035 eV per atom



[17]
Here is a relaxed structure of Sr2Zn17 from Alexandria. Energies are from PBE.

a = 6.940 Å, b = 6.940 Å, c = 6.940 Å
α = 83.21°, β = 83.21°, γ = 83.21°
Positions (direct):
Zn  0.291  0.709  0.000
Zn  0.291  0.000  0.709
Zn  0.099  0.099  0.099
Zn  0.348  0.348  0.842
Zn  0.652  0.652  0.158
Zn  0.901  0.901  0.901
Sr  0.661  0.661  0.661
Zn  0.000  0.709  0.291
Zn  0.500  0.000  0.000
Zn  0.000  0.291  0.709
Zn  0.842  0.348  0.348
Zn  0.348  0.842  0.348
Sr  0.339  0.339  0.339
Zn  0.709  0.291  0.000
Zn  0.000  0.500  0.000
Zn  0.652  0.158  0.652
Zn  0.709  0.000  0.291
Zn  0.158  0.652  0.652
Zn  0.000  0.000  0.500

DFT formation energy: -0.170 eV per atom



[18]
Here is a relaxed structure of SrZn from Alexandria. Energies are from PBE.

a = 4.594 Å, b = 6.352 Å, c = 8.768 Å
α = 90.00°, β = 90.00°, γ = 90.00°
Positions (direct):
Zn  0.750  0.098  0.526
Zn  0.250  0.598  0.974
Sr  0.250  0.114  0.821
Sr  0.750  0.614  0.679
Zn  0.250  0.902  0.474
Sr  0.250  0.386  0.321
Zn  0.750  0.402  0.026
Sr  0.750  0.886  0.179

DFT formation energy: -0.205 eV per atom



[19]
Here is a relaxed structure of SrZn from Alexandria. Energies are from PBE.

a = 6.334 Å, b = 6.334 Å, c = 8.507 Å
α = 68.01°, β = 68.01°, γ = 41.21°
Positions (direct):
Sr  0.894  0.894  0.050
Zn  0.022  0.022  0.633
Sr  0.721  0.721  0.688
Sr  0.538  0.538  0.339
Zn  0.415  0.415  0.756
Zn  0.243  0.243  0.367

DFT formation energy: -0.139 eV per atom



[20]
Here is a relaxed structure of SrZn from Alexandria. Energies are from PBE.

a = 5.245 Å, b = 5.245 Å, c = 5.245 Å
α = 61.93°, β = 61.93°, γ = 61.93°
Positions (direct):
Sr  0.629  0.629  0.629
Sr  0.371  0.371  0.371
Zn  0.884  0.884  0.884
Zn  0.116  0.116  0.116

DFT formation energy: 0.052 eV per atom



Ρ: 4.6, 4.5, 4.4, 4.7, 3.1, 5.9, 4.5, 4.2, 3.7, 4.5, 4.7, 6.7, 2.9, 3.7, 2.8, 3.7, 6.5, 4.0, 3.7, 4.8 (g/cm3)